## CsTl3Te2 (PBE-GGA)

Data for an optimized crystal structure of CsTl3Te2.

a b c (Å): 20.832 4.905 12.125
angles (deg): 90.00 125.53 90.00
Space group C2/m (No. 12)
Asymmetric unit:
Cs 0.122 0.000 0.122 [4 per cell]
Tl 0.000 0.000 0.367 [4 per cell]
Tl 0.177 0.500 0.489 [4 per cell]
Tl 0.178 0.500 0.866 [4 per cell]
Te 0.000 0.500 0.194 [4 per cell]
Te 0.189 0.000 0.689 [4 per cell]

## Properties
Calculated volume: 42.014 Å³ per atom
Formation energy without anion corrections: -0.48 eV/atom
Total DFT energy (no corrections): -17.1 eV per formula unit


## ReAs2W (PBE-GGA)

Data for an optimized crystal structure of ReAs2W.

a b c (Å): 2.9138 2.9138 30.9726
angles (deg): 90.00 90.00 120.00
Space group R3m (No. 160, hexagonal axes)
Asymmetric unit:
Re 0.0000 0.0000 0.0000 [3 per cell]
As 0.0000 0.0000 0.2686 [3 per cell]
As 0.0000 0.0000 0.4725 [3 per cell]
W 0.0000 0.0000 0.7372 [3 per cell]

## Properties
Calculated volume: 18.978 Å³ per atom
Formation enthalpy at 0 K: 150 meV/atom
DOS(E_F): 11.393 states/eV/cell
Total DFT energy (no corrections): -34.1 eV per formula unit
E above lowest polymorph: 30 meV/atom


## CoGeSb2Br (PBE-GGA)

Data for an optimized crystal structure of CoGeSb2Br.

a b c (Å): 5.108 5.108 4.512
angles (deg): 90.00 90.00 90.00
Space group P4/mmm (No. 123)
Asymmetric unit:
Co 0.000 0.000 0.000 [1 per cell]
Ge 0.000 0.000 0.500 [1 per cell]
Sb 0.000 0.500 0.000 [2 per cell]
Br 0.500 0.500 0.500 [1 per cell]

## Properties
Calculated volume: 23.546 Å³ per atom
Formation energy without anion corrections: 0.21 eV/atom
DOS(E_F): 6.317 states/eV/cell
Total DFT energy (no corrections): -20.6 eV per formula unit


Repeat the first record exactly.
## CsTl3Te2 (PBE-GGA)

Data for an optimized crystal structure of CsTl3Te2.

a b c (Å): 20.832 4.905 12.125
angles (deg): 90.00 125.53 90.00
Space group C2/m (No. 12)
Asymmetric unit:
Cs 0.122 0.000 0.122 [4 per cell]
Tl 0.000 0.000 0.367 [4 per cell]
Tl 0.177 0.500 0.489 [4 per cell]
Tl 0.178 0.500 0.866 [4 per cell]
Te 0.000 0.500 0.194 [4 per cell]
Te 0.189 0.000 0.689 [4 per cell]

## Properties
Calculated volume: 42.014 Å³ per atom
Formation energy without anion corrections: -0.48 eV/atom
Total DFT energy (no corrections): -17.1 eV per formula unit